Material: SrCu2Rh
Method: DFT, PBE
State: relaxed

Cell: 4.7689 4.7689 4.7689 Å, 124.80 114.65 90.70°
Last column: nearest neighbours and their distance in Å.
Element x y z (fractional)
1 Cu 0.0505 0.0505 0.0000  2 Rh 2.58, 1 Cu 2.67
2 Cu 0.4495 0.4495 0.0000  2 Rh 2.58, 1 Cu 2.67
3 Rh 0.2500 0.7500 0.5000  4 Cu 2.58
4 Sr 0.7500 0.2500 0.5000  8 Cu 2.90-2.99

Calculated values
The space group is No. 71. The size of the total moment comes out at 0.00 μB per formula unit. For the formation energy, the calculation gives 165 meV per atom. The value obtained for the relative energy among the computed polymorphs is 306 meV per atom. Its calculated volume is 19.1 Å³ per atom.